(a)
The following is a meta-GGA SCAN calculation of a PBEsol-optimized structure of Li4SbTe3O12, from the Alexandria database.

Fermi-level density of states: 0.227 states/eV/atom

Cell: 5.066 5.168 9.035 Å, 90.00 90.00 95.20°
Element x y z (fractional)
Te1 0.500 0.500 0.603
Te2 0.500 0.000 0.405
Te3 0.000 0.500 0.914
O1 0.288 0.148 0.565
O2 0.212 0.697 0.774
O3 0.788 0.303 0.774
O4 0.217 0.206 0.940
O5 0.288 0.651 0.443
O6 0.712 0.349 0.443
O7 0.783 0.794 0.940
O8 0.209 0.689 0.077
O9 0.791 0.311 0.077
O10 0.712 0.852 0.565
O11 0.235 0.187 0.248
O12 0.765 0.813 0.248
Li1 0.000 0.000 0.685
Li2 0.500 0.000 0.853
Li3 0.500 0.500 0.160
Li4 0.000 0.500 0.324
Sb1 0.000 0.000 0.104

(b)
The following is a meta-GGA SCAN calculation of a PBEsol-optimized structure of Li4SbTe3O12, from the Alexandria database.

Fermi-level density of states: 0.103 states/eV/atom

Cell: 5.212 5.551 7.627 Å, 95.04 90.01 89.97°
Element x y z (fractional)
Sb1 0.000 0.996 0.002
Li1 0.499 0.917 0.286
Li2 0.992 0.428 0.283
Li3 0.003 0.422 0.795
Li4 0.506 0.927 0.789
Te1 0.500 0.496 0.003
Te2 0.499 0.490 0.505
Te3 0.000 0.999 0.501
O1 0.326 0.835 0.055
O2 0.367 0.516 0.756
O3 0.861 0.027 0.255
O4 0.166 0.323 0.055
O5 0.629 0.524 0.248
O6 0.172 0.705 0.419
O7 0.809 0.699 0.919
O8 0.299 0.176 0.419
O9 0.139 0.017 0.742
O10 0.700 0.189 0.922
O11 0.851 0.321 0.558
O12 0.682 0.851 0.558

Verdict on stability: (b) comes out at the bottom.

(a)
The following is a meta-GGA SCAN calculation of a PBEsol-optimized structure of LiSbWO6, from the Alexandria database.

Fermi-level density of states: 0.000 states/eV/atom

Cell: 7.301 7.301 10.201 Å, 90.00 90.00 90.00°
Element x y z (fractional)
O1 0.758 0.262 0.436
O2 0.242 0.262 0.564
O3 0.456 0.544 0.125
O4 0.544 0.544 0.875
O5 0.738 0.242 0.814
O6 0.051 0.441 0.369
O7 0.074 0.074 0.375
O8 0.544 0.456 0.625
O9 0.262 0.758 0.314
O10 0.074 0.926 0.125
O11 0.758 0.738 0.064
O12 0.559 0.051 0.619
O13 0.051 0.559 0.131
O14 0.441 0.949 0.119
O15 0.559 0.949 0.881
O16 0.456 0.456 0.375
O17 0.738 0.758 0.686
O18 0.926 0.926 0.875
O19 0.949 0.441 0.631
O20 0.262 0.242 0.186
O21 0.242 0.738 0.936
O22 0.441 0.051 0.381
O23 0.949 0.559 0.869
O24 0.926 0.074 0.625
W1 0.000 0.746 0.000
W2 0.746 0.000 0.750
W3 0.000 0.254 0.500
W4 0.254 0.000 0.250
Sb1 0.741 0.500 0.750
Sb2 0.259 0.500 0.250
Sb3 0.500 0.741 0.000
Sb4 0.500 0.259 0.500
Li1 0.500 0.842 0.500
Li2 0.158 0.500 0.750
Li3 0.500 0.158 0.000
Li4 0.842 0.500 0.250

(b)
The following is a meta-GGA SCAN calculation of a PBEsol-optimized structure of LiSbWO6, from the Alexandria database.

Fermi-level density of states: 0.000 states/eV/atom

Cell: 7.137 7.238 7.238 Å, 60.80 60.46 60.46°
Element x y z (fractional)
W1 0.000 0.000 0.000
W2 0.000 0.500 0.500
O1 0.071 0.066 0.178
O2 0.053 0.697 0.197
O3 0.685 0.678 0.566
O4 0.315 0.934 0.822
O5 0.071 0.678 0.566
O6 0.664 0.086 0.586
O7 0.929 0.322 0.434
O8 0.685 0.066 0.178
O9 0.947 0.303 0.803
O10 0.336 0.914 0.414
O11 0.315 0.322 0.434
O12 0.929 0.934 0.822
Sb1 0.500 0.000 0.500
Sb2 0.000 0.000 0.500
Li1 0.500 0.000 0.000
Li2 0.500 0.500 0.500

(c)
The following is a meta-GGA SCAN calculation of a PBEsol-optimized structure of LiSbWO6, from the Alexandria database.

Fermi-level density of states: 0.000 states/eV/atom

Cell: 4.686 5.012 17.429 Å, 90.00 90.00 90.00°
Element x y z (fractional)
W1 0.000 0.250 0.398
W2 0.500 0.250 0.898
W3 0.000 0.750 0.602
W4 0.500 0.750 0.102
Li1 0.000 0.750 0.951
Li2 0.500 0.750 0.451
Li3 0.500 0.250 0.549
Li4 0.000 0.250 0.049
O1 0.208 0.058 0.635
O2 0.755 0.395 0.959
O3 0.255 0.605 0.541
O4 0.259 0.080 0.794
O5 0.208 0.558 0.365
O6 0.792 0.942 0.365
O7 0.245 0.605 0.041
O8 0.241 0.080 0.294
O9 0.741 0.420 0.794
O10 0.245 0.105 0.959
O11 0.708 0.442 0.135
O12 0.292 0.558 0.865
O13 0.759 0.420 0.294
O14 0.259 0.580 0.206
O15 0.255 0.105 0.459
O16 0.292 0.058 0.135
O17 0.741 0.920 0.206
O18 0.792 0.442 0.635
O19 0.745 0.895 0.541
O20 0.241 0.580 0.706
O21 0.755 0.895 0.041
O22 0.745 0.395 0.459
O23 0.708 0.942 0.865
O24 0.759 0.920 0.706
Sb1 0.000 0.250 0.718
Sb2 0.500 0.750 0.782
Sb3 0.500 0.250 0.218
Sb4 0.000 0.750 0.282

Verdict on stability: (b) comes out at the bottom.

(a)
The following is a meta-GGA SCAN calculation of a PBEsol-optimized structure of Li2VSi4O11, from the Alexandria database.

Cell: 7.646 8.311 8.311 Å, 77.78 62.61 62.61°
Site moments in Bohr magnetons follow the coordinates.
Element x y z (fractional)
Si1 0.502 0.328 0.279  0.00
Si2 0.892 0.328 0.279  0.00
Si3 0.108 0.672 0.721  0.00
Si4 0.829 0.279 0.672  0.00
Si5 0.220 0.279 0.672  0.00
Si6 0.780 0.721 0.328  0.00
Si7 0.498 0.672 0.721  0.00
Si8 0.171 0.721 0.328  0.00
O1 0.325 0.266 0.451  0.00
O2 0.034 0.678 0.254  0.00
O3 0.351 0.096 0.755  -0.01
O4 0.675 0.734 0.549  0.00
O5 0.591 0.451 0.734  0.00
O6 0.966 0.322 0.746  0.00
O7 0.893 0.755 0.904  -0.01
O8 0.225 0.451 0.734  0.00
O9 0.712 0.254 0.322  0.00
O10 0.202 0.904 0.245  -0.01
O11 0.409 0.549 0.266  0.00
O12 0.553 0.245 0.096  -0.01
O13 0.775 0.549 0.266  0.00
O14 0.649 0.904 0.245  -0.01
O15 0.042 0.734 0.549  0.00
O16 0.288 0.746 0.678  0.00
O17 0.798 0.096 0.755  -0.01
O18 0.107 0.245 0.096  -0.01
O19 0.447 0.755 0.904  -0.01
O20 0.500 0.000 0.000  0.00
O21 0.000 0.000 0.000  -0.26
O22 0.958 0.266 0.451  0.00
Li1 0.341 0.043 0.275  0.00
Li2 0.384 0.275 0.957  0.00
Li3 0.616 0.725 0.043  0.00
Li4 0.659 0.957 0.725  0.00
V1 0.758 0.000 0.000  1.10
V2 0.242 0.000 0.000  1.10

(b)
The following is a meta-GGA SCAN calculation of a PBEsol-optimized structure of Li2VSi4O11, from the Alexandria database.

Cell: 7.153 7.153 8.068 Å, 81.64 81.64 84.37°
Site moments in Bohr magnetons follow the coordinates.
Element x y z (fractional)
O1 0.868 0.132 0.750  0.00
O2 0.258 0.867 0.558  0.01
O3 0.734 0.453 0.580  0.00
O4 0.867 0.258 0.058  0.01
O5 0.132 0.868 0.250  0.00
O6 0.581 0.785 0.672  0.01
O7 0.061 0.250 0.470  0.00
O8 0.578 0.853 0.336  -0.04
O9 0.939 0.750 0.530  0.00
O10 0.266 0.547 0.420  0.00
O11 0.453 0.734 0.080  0.00
O12 0.422 0.147 0.664  -0.04
O13 0.742 0.133 0.442  0.01
O14 0.133 0.742 0.942  0.01
O15 0.250 0.061 0.970  0.00
O16 0.215 0.419 0.828  0.01
O17 0.853 0.578 0.836  -0.04
O18 0.750 0.939 0.030  0.00
O19 0.547 0.266 0.920  0.00
O20 0.147 0.422 0.164  -0.04
O21 0.785 0.581 0.172  0.01
O22 0.419 0.215 0.328  0.01
Si1 0.229 0.355 0.344  0.00
Si2 0.355 0.229 0.844  0.00
Si3 0.645 0.771 0.156  0.00
Si4 0.245 0.843 0.060  0.00
Si5 0.843 0.245 0.560  0.00
Si6 0.157 0.755 0.440  0.00
Si7 0.755 0.157 0.940  0.00
Si8 0.771 0.645 0.656  0.00
Li1 0.657 0.343 0.250  0.00
Li2 0.343 0.657 0.750  0.00
Li3 0.072 0.928 0.750  0.00
Li4 0.928 0.072 0.250  0.00
V1 0.000 0.500 0.000  1.02
V2 0.500 0.000 0.500  1.02

Verdict on stability: (a) comes out at the bottom.